No. 1
VASP calculation (PBE) on a relaxed structure of CaTcAg3.

calculated formation energy: 1.57 eV/atom

abc: 5.1602 5.1602 5.1602
angles: 90.00 90.00 90.00
Last column: nearest neighbours and their distance in Å.
Space group Pm-3m (No. 221)
Symmetry-distinct sites (fractional):
Ca 0.0000 0.0000 0.0000  6 Ag 2.58
Tc 0.5000 0.5000 0.5000  12 Ag 3.65
Ag 0.0000 0.0000 0.5000  2 Ca 2.58

No. 2
VASP calculation (PBE) on a relaxed structure of CaNbZnAs2.

calculated formation energy: -0.22 eV/atom

abc: 5.0180 5.0180 4.9920
angles: 90.00 90.00 90.00
Last column: nearest neighbours and their distance in Å.
Space group P4/mmm (No. 123)
Symmetry-distinct sites (fractional):
Ca 0.0000 0.0000 0.0000  8 As 3.54, 4 Zn 3.55
Nb 0.5000 0.5000 0.5000  2 Zn 2.50, 4 As 2.51
Zn 0.5000 0.5000 0.0000  2 Nb 2.50
As 0.0000 0.5000 0.5000  2 Nb 2.51

Q: Which value of calculated formation energy does entry 1 give?
A: 1.57 eV/atom

Repeat the first record exactly.
VASP calculation (PBE) on a relaxed structure of CaTcAg3.

calculated formation energy: 1.57 eV/atom

abc: 5.1602 5.1602 5.1602
angles: 90.00 90.00 90.00
Last column: nearest neighbours and their distance in Å.
Space group Pm-3m (No. 221)
Symmetry-distinct sites (fractional):
Ca 0.0000 0.0000 0.0000  6 Ag 2.58
Tc 0.5000 0.5000 0.5000  12 Ag 3.65
Ag 0.0000 0.0000 0.5000  2 Ca 2.58

Q: Which of these has the lowest calculated formation energy?
A: CaNbZnAs2

Q: Among the records above, which one has the highest calculated formation energy?
A: CaTcAg3